A plane-wave DFT calculation with PBE-GGA was carried out for LiAc4Se6 after structural relaxation.

## Properties
The calculated volume is 28.56 A^3/atom. The value obtained for the raw formation energy is -1.88 eV per atom.

Lattice parameters (Å, degrees): 8.5655 8.5655 8.5655 89.41 89.41 90.59
Closest atoms and distances in Å follow each position.
Fractional positions:
Li 0.5000 0.5000 0.5000  6 Se 2.77
Li 0.0000 0.0000 0.0000  6 Se 2.77
Ac 0.3668 0.1332 0.2500  8 Se 3.20-3.33
Ac 0.8668 0.2500 0.3668  8 Se 3.20-3.33
Ac 0.2500 0.6332 0.1332  8 Se 3.20-3.33
Ac 0.2500 0.2500 0.7500  6 Se 3.07
Ac 0.7500 0.7500 0.2500  6 Se 3.07
Ac 0.7500 0.3668 0.8668  8 Se 3.20-3.33
Ac 0.1332 0.7500 0.6332  8 Se 3.20-3.33
Ac 0.6332 0.8668 0.7500  8 Se 3.20-3.33
Se 0.6921 0.0610 0.0796  1 Li 2.77, 1 Ac 3.07
Se 0.0796 0.3079 0.0610  1 Li 2.77, 1 Ac 3.07
Se 0.5796 0.4390 0.1921  1 Li 2.77, 1 Ac 3.07
Se 0.9390 0.0796 0.6921  1 Li 2.77, 1 Ac 3.07
Se 0.5610 0.1921 0.5796  1 Li 2.77, 1 Ac 3.07
Se 0.1921 0.4204 0.4390  1 Li 2.77, 1 Ac 3.07
Se 0.8079 0.5796 0.5610  1 Li 2.77, 1 Ac 3.07
Se 0.4390 0.8079 0.4204  1 Li 2.77, 1 Ac 3.07
Se 0.0610 0.9204 0.3079  1 Li 2.77, 1 Ac 3.07
Se 0.4204 0.5610 0.8079  1 Li 2.77, 1 Ac 3.07
Se 0.9204 0.6921 0.9390  1 Li 2.77, 1 Ac 3.07
Se 0.3079 0.9390 0.9204  1 Li 2.77, 1 Ac 3.07

---

A plane-wave DFT calculation with PBE-GGA was carried out for PmSm2HfAs4 after structural relaxation.

## Properties
The calculated volume is 24.62 A^3/atom. The calculation puts the energy of formation from the pure elements at -1.38 eV/atom.

Lattice parameters (Å, degrees): 4.1097 7.1262 7.1235 109.23 90.00 90.00
Closest atoms and distances in Å follow each position.
Fractional positions:
Pm 0.5000 0.5000 0.0000  6 As 2.91-2.92
Sm 0.5000 0.0000 0.5000  6 As 2.90-2.91
Sm 0.0000 0.5000 0.5000  6 As 3.01-3.02
Hf 0.0000 0.0000 0.0000  6 As 2.79-2.81
As 0.5000 0.2320 0.2330  2 Hf 2.81, 3 Sm 2.90-3.02, 1 Pm 2.91
As 0.5000 0.7680 0.7670  2 Hf 2.81, 3 Sm 2.90-3.02, 1 Pm 2.91
As 0.0000 0.2395 0.7585  1 Hf 2.79, 3 Sm 2.91-3.01, 2 Pm 2.92
As 0.0000 0.7605 0.2415  1 Hf 2.79, 3 Sm 2.91-3.01, 2 Pm 2.92